Density functional theory data (PBE+U) for a relaxed PaMn2TeO8 crystal.

abc: 5.937 5.937 5.937
angles: 109.19 109.19 110.03
Site moments in Bohr magnetons follow the coordinates.
Element x y z (fractional)
O 0.732 0.055 0.677  -0.07
O 0.289 0.480 0.191  -0.09
O 0.520 0.711 0.809  -0.09
O 0.945 0.623 0.677  -0.07
O 0.945 0.268 0.323  -0.07
O 0.902 0.711 0.191  -0.09
O 0.289 0.098 0.809  -0.09
O 0.377 0.055 0.323  -0.07
Te 0.250 0.750 0.500  0.00
Pa 0.000 0.000 0.000  0.07
Mn 0.500 0.500 0.000  4.16
Mn 0.750 0.250 0.500  3.13

## Properties
Uncorrected energy in eV per atom: -7.35
Theoretical density in g/cm³: 6.1